Entry from Alexandria via LeMat-Bulk: crystalline HoTlCuNi at its relaxed geometry (PBE).

a b c (Å): 6.612 6.612 6.612
angles (deg): 90.00 90.00 90.00
Space group F-43m (No. 216)
Symmetry-distinct sites (fractional):
Ho1 0.000 0.000 0.000
Tl1 0.000 0.000 0.500
Cu1 0.250 0.250 0.250
Ni1 0.250 0.250 0.750

Results
M_tot ... 0.00 μB/f.u.
ΔH_f (0 K) ... -0.1674 eV per atom

Entry from Alexandria via LeMat-Bulk: crystalline PmAlRh2 at its relaxed geometry (PBE).

a b c (Å): 3.172 3.172 6.908
angles (deg): 90.00 90.00 90.00
Space group P4/mmm (No. 123)
Symmetry-distinct sites (fractional):
Pm1 0.000 0.000 0.000
Al1 0.000 0.000 0.500
Rh1 0.500 0.500 0.295

Results
M_tot ... 0.00 μB/f.u.
ΔH_f (0 K) ... -0.7486 eV per atom

Entry from Alexandria via LeMat-Bulk: crystalline Rb2ThUS6 at its relaxed geometry (PBE).

a b c (Å): 7.513 7.508 13.009
angles (deg): 90.00 125.28 90.00
Space group P2_1/c (No. 14)
Symmetry-distinct sites (fractional):
Rb1 0.250 0.001 0.250
Th1 0.000 0.000 0.500
U1 0.500 0.000 0.000
S1 0.246 0.000 0.759
S2 0.261 0.735 0.507
S3 0.272 0.246 0.007

Results
E_form (uncorrected) ... -1.47 eV per atom
M_tot ... 0.07 μB/f.u.

Entry from Alexandria via LeMat-Bulk: crystalline BaYAl2Br at its relaxed geometry (PBE).

a b c (Å): 5.696 5.696 5.547
angles (deg): 90.00 90.00 90.00
Space group P4/mmm (No. 123)
Symmetry-distinct sites (fractional):
Ba1 0.000 0.000 0.000
Y1 0.500 0.500 0.500
Al1 0.000 0.500 0.500
Br1 0.500 0.500 0.000

Results
E_form (uncorrected) ... -0.12 eV per atom
M_tot ... 0.00 μB/f.u.

Entry from Alexandria via LeMat-Bulk: crystalline AcSCl at its relaxed geometry (PBE).

a b c (Å): 7.032 7.032 7.120
angles (deg): 90.00 90.06 90.00
Space group C2/c (No. 15)
Symmetry-distinct sites (fractional):
Ac1 0.250 0.250 0.000
S1 0.000 0.000 0.250
Cl1 0.000 0.500 0.250

Results
Energy relative to the lowest polymorph listed for this composition ... 65 meV per atom
E_form (uncorrected) ... -2.25 eV per atom
M_tot ... 0.00 μB/f.u.

Entry from Alexandria via LeMat-Bulk: crystalline Ce2SmTh3Te6 at its relaxed geometry (PBE).

a b c (Å): 19.724 4.414 9.034
angles (deg): 90.00 106.44 90.00
Space group C2/m (No. 12)
Symmetry-distinct sites (fractional):
Ce1 0.167 0.000 0.332
Sm1 0.000 0.500 0.000
Th1 0.000 0.500 0.500
Th2 0.167 0.000 0.830
Te1 0.001 0.000 0.246
Te2 0.165 0.500 0.082
Te3 0.167 0.500 0.579

Results
E_form (uncorrected) ... -1.19 eV per atom
M_tot ... 1.88 μB/f.u.

Entry from Alexandria via LeMat-Bulk: crystalline MnAlAs2 at its relaxed geometry (PBE).

a b c (Å): 2.9169 2.9169 28.0070
angles (deg): 90.00 90.00 120.00
Space group R3m (No. 160, hexagonal axes)
Symmetry-distinct sites (fractional):
Mn1 0.0000 0.0000 0.0000
Al1 0.0000 0.0000 0.2644
As1 0.0000 0.0000 0.5212
As2 0.0000 0.0000 0.7289

Results
M_tot ... 0.80 μB/f.u.
ΔH_f (0 K) ... 0.0690 eV per atom

Entry from Alexandria via LeMat-Bulk: crystalline CaPbS2 at its relaxed geometry (PBE).

a b c (Å): 4.1363 4.1363 20.5102
angles (deg): 90.00 90.00 120.00
Space group R-3m (No. 166, hexagonal axes)
Symmetry-distinct sites (fractional):
Ca1 0.0000 0.0000 0.0000
Pb1 0.0000 0.0000 0.5000
S1 0.0000 0.0000 0.2556

Results
E_form (uncorrected) ... -1.33 eV per atom
M_tot ... 0.00 μB/f.u.

Entry from Alexandria via LeMat-Bulk: crystalline Zr2FeCl at its relaxed geometry (PBE).

a b c (Å): 3.843 4.942 9.230
angles (deg): 90.00 90.00 90.00
Space group Cmm2 (No. 35)
Symmetry-distinct sites (fractional):
Zr1 0.000 0.000 0.000
Zr2 0.000 0.500 0.263
Fe1 0.000 0.000 0.459
Cl1 0.000 0.500 0.802

Results
Energy relative to the lowest polymorph listed for this composition ... 398 meV per atom
E_form (uncorrected) ... -0.11 eV per atom
M_tot ... 2.32 μB/f.u.

Entry from Alexandria via LeMat-Bulk: crystalline PmCuHg2 at its relaxed geometry (PBE).

a b c (Å): 4.323 10.265 7.939
angles (deg): 90.00 90.00 90.00
Space group Cmcm (No. 63)
Symmetry-distinct sites (fractional):
Pm1 0.000 0.069 0.250
Cu1 0.000 0.225 0.750
Hg1 0.000 0.359 0.052

Results
Energy relative to the lowest polymorph listed for this composition ... 0 meV per atom
M_tot ... 0.00 μB/f.u.
ΔH_f (0 K) ... -0.2924 eV per atom

Entry from Alexandria via LeMat-Bulk: crystalline Sm2ThP3 at its relaxed geometry (PBE).

a b c (Å): 4.127 5.833 12.330
angles (deg): 90.00 90.00 90.00
Space group Immm (No. 71)
Symmetry-distinct sites (fractional):
Sm1 0.000 0.000 0.167
Th1 0.000 0.000 0.500
P1 0.000 0.500 0.166
P2 0.000 0.500 0.500

Results
Energy relative to the lowest polymorph listed for this composition ... 0 meV per atom
M_tot ... 0.00 μB/f.u.
ΔH_f (0 K) ... -1.5904 eV per atom

Entry from Alexandria via LeMat-Bulk: crystalline LiZn2Tc at its relaxed geometry (PBE).

a b c (Å): 2.605 3.978 5.523
angles (deg): 90.00 90.00 90.00
Space group Pmmm (No. 47)
Symmetry-distinct sites (fractional):
Li1 0.000 0.000 0.000
Zn1 0.500 0.500 0.259
Tc1 0.000 0.000 0.500

Results
Energy relative to the lowest polymorph listed for this composition ... 112 meV per atom
M_tot ... 0.00 μB/f.u.
ΔH_f (0 K) ... 0.0253 eV per atom